KPCO2: optimized geometry, GGA-PBE.

a b c (Å): 4.288 4.288 3.518
angles (deg): 90.00 90.00 90.00
Space group P4/mmm (No. 123)
Symmetry-distinct sites (fractional):
K  0.000  0.000  0.000 [1 per cell]
P  0.500  0.500  0.000 [1 per cell]
C  0.500  0.500  0.500 [1 per cell]
O  0.000  0.500  0.500 [2 per cell]

As for the total energy: -0.15965 Ha/atom. The value obtained for the energy relative to the elements, uncorrected is 3.93 eV/f.u. The calculation puts the total magnetic moment at 0.0 μB/cell. The value obtained for the energy relative to the lowest polymorph listed for this composition is 0 meV per atom. The value obtained for the volume is 12.9 Å³ per atom. Its density is 2.93 g/cm3.

RbCa2CS: optimized geometry, GGA-PBE.

a b c (Å): 5.712 5.712 4.161
angles (deg): 90.00 90.00 90.00
Space group P4/mmm (No. 123)
Symmetry-distinct sites (fractional):
Rb  0.000  0.000  0.000 [1 per cell]
Ca  0.000  0.500  0.000 [2 per cell]
C  0.000  0.000  0.500 [1 per cell]
S  0.500  0.500  0.500 [1 per cell]

As for the total energy: -0.08141 Ha/atom. The value obtained for the energy relative to the elements, uncorrected is 7.25 eV/f.u. The calculation puts the total magnetic moment at 0.0 μB/cell. The value obtained for the volume is 27.2 Å³ per atom. Its density is 2.56 g/cm3.

In4TcPb: optimized geometry, GGA-PBE.

a b c (Å): 8.385 8.385 8.385
angles (deg): 90.00 90.00 90.00
Space group F-43m (No. 216)
Symmetry-distinct sites (fractional):
In  0.124  0.124  0.376 [16 per cell]
Tc  0.250  0.250  0.750 [4 per cell]
Pb  0.000  0.000  0.000 [4 per cell]

As for the total energy: -0.13069 Ha/atom. The calculation puts the total magnetic moment at 7.6 μB/cell. The formation enthalpy at 0 K comes out at 615 meV/atom. The value obtained for the volume is 24.6 Å³ per atom. Its density is 8.61 g/cm3.

SrMn2Co: optimized geometry, GGA-PBE.

a b c (Å): 4.094 4.094 4.408
angles (deg): 90.00 90.00 90.00
Space group P4/mmm (No. 123)
Symmetry-distinct sites (fractional):
Sr  0.000  0.000  0.000 [1 per cell]
Mn  0.000  0.500  0.500 [2 per cell]
Co  0.500  0.500  0.000 [1 per cell]

As for the total energy: -0.21979 Ha/atom. The calculation puts the total magnetic moment at 8.6 μB/cell. The formation enthalpy at 0 K comes out at 801 meV/atom. The value obtained for the energy relative to the lowest polymorph listed for this composition is 498 meV per atom. The value obtained for the volume is 18.5 Å³ per atom. Its density is 5.76 g/cm3.

CuP4Ir: optimized geometry, GGA-PBE.

a b c (Å): 7.015 7.015 7.015
angles (deg): 90.00 90.00 90.00
Space group F-43m (No. 216)
Symmetry-distinct sites (fractional):
Cu  0.000  0.000  0.000 [4 per cell]
P  0.130  0.130  0.630 [16 per cell]
Ir  0.250  0.250  0.250 [4 per cell]

As for the total energy: -0.18091 Ha/atom. The calculation puts the total magnetic moment at 0.0 μB/cell. The formation enthalpy at 0 K comes out at 843 meV/atom. The value obtained for the volume is 14.4 Å³ per atom. Its density is 7.30 g/cm3.

Ti3PtN: optimized geometry, GGA-PBE.

a b c (Å): 11.404 3.045 9.583
angles (deg): 90.00 122.80 90.00
Space group Cm (No. 8)
Symmetry-distinct sites (fractional):
Ti  0.000  0.000  0.000 [2 per cell]
Ti  0.001  0.500  0.733 [2 per cell]
Ti  0.030  0.500  0.278 [2 per cell]
Ti  0.241  0.000  0.785 [2 per cell]
Ti  0.262  0.500  0.048 [2 per cell]
Ti  0.268  0.000  0.332 [2 per cell]
Pt  0.270  0.500  0.578 [2 per cell]
Pt  0.487  0.500  0.470 [2 per cell]
N  0.117  0.000  0.891 [2 per cell]
N  0.393  0.000  0.036 [2 per cell]

As for the total energy: -0.31951 Ha/atom. The value obtained for the energy relative to the elements, uncorrected is -5.42 eV/f.u. The calculation puts the total magnetic moment at 0.0 μB/cell. The value obtained for the volume is 14.0 Å³ per atom. Its density is 8.37 g/cm3.

Tb2ZrGe2Rh5: optimized geometry, GGA-PBE.

a b c (Å): 9.857 9.857 3.654
angles (deg): 90.00 90.00 90.00
Space group P4/mbm (No. 127)
Symmetry-distinct sites (fractional):
Tb  0.173  0.327  0.000 [4 per cell]
Zr  0.000  0.000  0.000 [2 per cell]
Ge  0.124  0.624  0.000 [4 per cell]
Rh  0.000  0.500  0.500 [2 per cell]
Rh  0.068  0.790  0.500 [8 per cell]

As for the total energy: -0.26599 Ha/atom. The calculation puts the total magnetic moment at 0.0 μB/cell. The formation enthalpy at 0 K comes out at -858 meV/atom. The value obtained for the volume is 17.8 Å³ per atom. Its density is 10.00 g/cm3.

Ti2CoRhC: optimized geometry, GGA-PBE.

a b c (Å): 4.177 4.177 3.675
angles (deg): 90.00 90.00 90.00
Space group P4/mmm (No. 123)
Symmetry-distinct sites (fractional):
Ti  0.000  0.500  0.000 [2 per cell]
Co  0.000  0.000  0.500 [1 per cell]
Rh  0.500  0.500  0.500 [1 per cell]
C  0.000  0.000  0.000 [1 per cell]

As for the total energy: -0.30691 Ha/atom. The calculation puts the total magnetic moment at 1.0 μB/cell. The formation enthalpy at 0 K comes out at -457 meV/atom. The value obtained for the volume is 12.8 Å³ per atom. Its density is 6.98 g/cm3.